Entry 1:
VASP calculation (GGA-PBE) on NaYPb after structural relaxation.

Calculated values
Space group: No. 194
Energy above the most stable polymorph in this dataset (kJ per mole of atoms): 10.3
Calculated formation energy (eV per atom): -0.270
D(E_F) (states/eV/cell): 1.0

Geometry as POSCAR:
```
NaYPb
1.0
5.1210 0.0000 0.0000
-2.5605 4.4349 0.0000
0.0000 0.0000 7.2908
Na Y Pb
2 2 2
direct
0.3333 0.6667 0.2500
0.6667 0.3333 0.7500
0.0000 0.0000 0.0000
0.0000 0.0000 0.5000
0.3333 0.6667 0.7500
0.6667 0.3333 0.2500
```

=====

Entry 2:
VASP calculation (GGA-PBE) on NaYPb2 after structural relaxation.

Calculated values
Space group: No. 123
Calculated formation energy (eV per atom): -0.323
D(E_F) (states/eV/cell): 3.1

Geometry as POSCAR:
```
NaYPb2
1.0
3.5278 0.0000 0.0000
0.0000 3.5278 0.0000
0.0000 0.0000 9.3576
Na Y Pb
1 1 2
direct
0.0000 0.0000 0.0000
0.0000 0.0000 0.5000
0.5000 0.5000 0.2565
0.5000 0.5000 0.7435
```

=====

Entry 3:
VASP calculation (GGA-PBE) on NaYPb after structural relaxation.

Calculated values
Space group: No. 107
Energy above the most stable polymorph in this dataset (kJ per mole of atoms): 24.8
Calculated formation energy (eV per atom): -0.119
D(E_F) (states/eV/cell): 3.1

Geometry as POSCAR:
```
NaYPb
1.0
3.5006 0.0000 0.0000
0.0000 3.5006 0.0000
0.0000 0.0000 15.0327
Na Y Pb
2 2 2
direct
0.0000 0.0000 0.0000
0.5000 0.5000 0.5000
0.0000 0.0000 0.3031
0.5000 0.5000 0.8031
0.0000 0.0000 0.6561
0.5000 0.5000 0.1561
```

=====

Entry 4:
VASP calculation (GGA-PBE) on NaYPb after structural relaxation.

Calculated values
Space group: No. 216
Energy above the most stable polymorph in this dataset (kJ per mole of atoms): 16.4
Calculated formation energy (eV per atom): -0.207

Geometry as POSCAR:
```
NaYPb
1.0
7.3332 0.0000 0.0000
0.0000 7.3332 0.0000
0.0000 0.0000 7.3332
Na Y Pb
4 4 4
direct
0.0000 0.0000 0.0000
0.0000 0.5000 0.5000
0.5000 0.0000 0.5000
0.5000 0.5000 0.0000
0.0000 0.0000 0.5000
0.0000 0.5000 0.0000
0.5000 0.0000 0.0000
0.5000 0.5000 0.5000
0.2500 0.2500 0.2500
0.2500 0.7500 0.7500
0.7500 0.2500 0.7500
0.7500 0.7500 0.2500
```

=====

Entry 5:
VASP calculation (GGA-PBE) on NaYPb after structural relaxation.

Calculated values
Space group: No. 12
Energy above the most stable polymorph in this dataset (kJ per mole of atoms): 6.8
Calculated formation energy (eV per atom): -0.305
D(E_F) (states/eV/cell): 7.0

Geometry as POSCAR:
```
NaYPb
1.0
18.3523 0.0000 0.0000
0.0000 4.4391 0.0000
-1.0797 0.0000 4.3410
Na Y Pb
4 4 4
direct
0.0000 0.0000 0.0000
0.0000 0.5000 0.5000
0.5000 0.0000 0.5000
0.5000 0.5000 0.0000
0.1800 0.0000 0.6796
0.3200 0.5000 0.3204
0.6800 0.5000 0.6796
0.8200 0.0000 0.3204
0.1417 0.5000 0.1417
0.3583 0.0000 0.8583
0.6417 0.0000 0.1417
0.8583 0.5000 0.8583
```

=====

Entry 6:
VASP calculation (GGA-PBE) on Na3YPb6 after structural relaxation.

Calculated values
Space group: No. 11
Calculated formation energy (eV per atom): -0.199
D(E_F) (states/eV/cell): 10.8

Geometry as POSCAR:
```
Na3YPb6
1.0
10.9051 0.0000 0.0000
0.0000 4.8787 0.0000
-0.0622 0.0000 10.9398
Na Y Pb
6 2 12
direct
0.0031 0.2500 0.2494
0.2047 0.7500 0.3458
0.4017 0.2500 0.4461
0.5983 0.7500 0.5539
0.7953 0.2500 0.6542
0.9969 0.7500 0.7506
0.3848 0.7500 0.9404
0.6152 0.2500 0.0596
0.0986 0.2500 0.5398
0.1029 0.7500 0.0464
0.1878 0.2500 0.8351
0.3004 0.7500 0.6453
0.3085 0.2500 0.1442
0.4984 0.2500 0.7567
0.5016 0.7500 0.2433
0.6915 0.7500 0.8558
0.6996 0.2500 0.3547
0.8122 0.7500 0.1649
0.8971 0.2500 0.9536
0.9014 0.7500 0.4602
```